Record 1
Material: Cs2SnSb2Au6
Method: DFT, GGA-PBE
State: optimized geometry

For the uncorrected formation energy, the calculation gives -2.48 eV per formula unit. For the raw total energy, the calculation gives -0.24119 Ry/atom. The volume comes out at 33.2 A^3/atom.

The structure in CIF format:
```
data_Cs2SnSb2Au6
_chemical_formula_sum 'Cs2 Sn1 Sb2 Au6'
_cell_length_a 8.121
_cell_length_b 8.121
_cell_length_c 7.703
_cell_angle_alpha 118.20
_cell_angle_beta 118.20
_cell_angle_gamma 58.86
_space_group_name_H-M_alt 'P 1'
_space_group_IT_number 1
loop_
_space_group_symop_operation_xyz
'x,y,z'
loop_
_atom_site_label
_atom_site_type_symbol
_atom_site_fract_x
_atom_site_fract_y
_atom_site_fract_z
Cs1 Cs 0.222 0.222 0.140
Cs2 Cs 0.778 0.778 0.860
Sn1 Sn 0.500 0.500 0.000
Sb1 Sb 0.063 0.063 0.406
Sb2 Sb 0.937 0.937 0.594
Au1 Au 0.279 0.279 0.709
Au2 Au 0.313 0.653 0.667
Au3 Au 0.347 0.687 0.333
Au4 Au 0.653 0.313 0.667
Au5 Au 0.687 0.347 0.333
Au6 Au 0.721 0.721 0.291
```

Record 2
Material: PaIrSe4
Method: DFT, GGA-PBE
State: optimized geometry

For the uncorrected formation energy, the calculation gives -5.07 eV per formula unit. Its distance to the lowest polymorph of the same formula is 0.0 meV per atom. For the raw total energy, the calculation gives -0.45773 Ry/atom. The volume comes out at 25.4 A^3/atom.

The structure in CIF format:
```
data_PaIrSe4
_chemical_formula_sum 'Pa2 Ir2 Se8'
_cell_length_a 6.365
_cell_length_b 6.365
_cell_length_c 7.665
_cell_angle_alpha 90.00
_cell_angle_beta 90.00
_cell_angle_gamma 101.18
_space_group_name_H-M_alt 'P 1'
_space_group_IT_number 1
loop_
_space_group_symop_operation_xyz
'x,y,z'
loop_
_atom_site_label
_atom_site_type_symbol
_atom_site_fract_x
_atom_site_fract_y
_atom_site_fract_z
Pa1 Pa 0.000 0.500 0.000
Pa2 Pa 0.500 0.000 0.500
Ir1 Ir 0.000 0.000 0.250
Ir2 Ir 0.000 0.000 0.750
Se1 Se 0.178 0.234 0.500
Se2 Se 0.234 0.178 0.000
Se3 Se 0.262 0.738 0.250
Se4 Se 0.262 0.738 0.750
Se5 Se 0.738 0.262 0.250
Se6 Se 0.738 0.262 0.750
Se7 Se 0.766 0.822 0.000
Se8 Se 0.822 0.766 0.500
```

Record 3
Material: NaCd6Hg2
Method: DFT, GGA-PBE
State: optimized geometry

Its distance to the lowest polymorph of the same formula is 0.0 meV per atom. For the raw total energy, the calculation gives -0.06372 Ry/atom. The volume comes out at 23.4 A^3/atom.

The structure in CIF format:
```
data_NaCd6Hg2
_chemical_formula_sum 'Na1 Cd6 Hg2'
_cell_length_a 7.114
_cell_length_b 7.114
_cell_length_c 7.285
_cell_angle_alpha 105.94
_cell_angle_beta 105.94
_cell_angle_gamma 36.57
_space_group_name_H-M_alt 'P 1'
_space_group_IT_number 1
loop_
_space_group_symop_operation_xyz
'x,y,z'
loop_
_atom_site_label
_atom_site_type_symbol
_atom_site_fract_x
_atom_site_fract_y
_atom_site_fract_z
Na1 Na 0.000 0.000 0.000
Cd1 Cd 0.110 0.110 0.653
Cd2 Cd 0.225 0.225 0.338
Cd3 Cd 0.328 0.328 0.007
Cd4 Cd 0.672 0.672 0.993
Cd5 Cd 0.775 0.775 0.662
Cd6 Cd 0.890 0.890 0.347
Hg1 Hg 0.447 0.447 0.688
Hg2 Hg 0.553 0.553 0.312
```

Record 4
Material: BaTlAs2
Method: DFT, GGA-PBE
State: optimized geometry

Its distance to the lowest polymorph of the same formula is 340.4 meV per atom. For the raw total energy, the calculation gives -0.26170 Ry/atom. The volume comes out at 29.0 A^3/atom.

The structure in CIF format:
```
data_BaTlAs2
_chemical_formula_sum 'Ba1 Tl1 As2'
_cell_length_a 3.645
_cell_length_b 3.645
_cell_length_c 8.735
_cell_angle_alpha 90.00
_cell_angle_beta 90.00
_cell_angle_gamma 90.00
_space_group_name_H-M_alt 'P 1'
_space_group_IT_number 1
loop_
_space_group_symop_operation_xyz
'x,y,z'
loop_
_atom_site_label
_atom_site_type_symbol
_atom_site_fract_x
_atom_site_fract_y
_atom_site_fract_z
Ba1 Ba 0.000 0.000 0.000
Tl1 Tl 0.000 0.000 0.500
As1 As 0.500 0.500 0.263
As2 As 0.500 0.500 0.737
```